Record 1
# Be9NbIr2, optimized geometry, DFT PBE
# Magnetic moment, Bohr magnetons per cell: 0.00
# Energy relative to the elements, eV per atom: -0.36
# Electronic total energy, eV per atom: -5.47
data_Be9NbIr2
_cell_length_a 4.3808
_cell_length_b 4.3808
_cell_length_c 20.8297
_cell_angle_alpha 90.00
_cell_angle_beta 90.00
_cell_angle_gamma 120.00
_space_group_name_H-M_alt 'R -3 m'
_space_group_IT_number 166
_space_group_name_Hall '-R 3 2"'
loop_
_atom_site_label
_atom_site_fract_x
_atom_site_fract_y
_atom_site_fract_z
Be1 0.0000 0.0000 0.0000
Be2 0.0000 0.0000 0.1672
Be3 0.0044 0.5022 0.4151
Nb1 0.0000 0.0000 0.5000
Ir1 0.0000 0.0000 0.3630



Record 2
# BeNbNiIr, optimized geometry, DFT PBE
# Magnetic moment, Bohr magnetons per cell: 0.00
# Energy relative to the elements, eV per atom: -0.31
# Electronic total energy, eV per atom: -7.42
data_BeNbNiIr
_cell_length_a 6.002
_cell_length_b 6.002
_cell_length_c 6.002
_cell_angle_alpha 90.00
_cell_angle_beta 90.00
_cell_angle_gamma 90.00
_space_group_name_H-M_alt 'F -4 3 m'
_space_group_IT_number 216
_space_group_name_Hall 'F -4 2 3'
loop_
_atom_site_label
_atom_site_fract_x
_atom_site_fract_y
_atom_site_fract_z
Be1 0.000 0.000 0.000
Nb1 0.000 0.000 0.500
Ni1 0.250 0.250 0.750
Ir1 0.250 0.250 0.250



Record 3
# PmBeNbIr2, optimized geometry, DFT PBE
# Magnetic moment, Bohr magnetons per cell: 0.00
# Energy relative to the elements, eV per atom: -0.51
# Electronic total energy, eV per atom: -7.77
data_PmBeNbIr2
_cell_length_a 4.003
_cell_length_b 4.003
_cell_length_c 11.569
_cell_angle_alpha 90.00
_cell_angle_beta 90.00
_cell_angle_gamma 90.00
_space_group_name_H-M_alt 'I -4 m 2'
_space_group_IT_number 119
_space_group_name_Hall 'I -4 -2'
loop_
_atom_site_label
_atom_site_fract_x
_atom_site_fract_y
_atom_site_fract_z
Pm1 0.000 0.000 0.000
Be1 0.000 0.500 0.250
Nb1 0.000 0.500 0.750
Ir1 0.000 0.000 0.385



Record 4
# BeNbIr2Pt, optimized geometry, DFT PBE
# Magnetic moment, Bohr magnetons per cell: 2.67
# Energy relative to the elements, eV per atom: 1.91
# Electronic total energy, eV per atom: -5.60
data_BeNbIr2Pt
_cell_length_a 4.863
_cell_length_b 4.863
_cell_length_c 4.735
_cell_angle_alpha 90.00
_cell_angle_beta 90.00
_cell_angle_gamma 90.00
_space_group_name_H-M_alt 'P 4/m m m'
_space_group_IT_number 123
_space_group_name_Hall '-P 4 2'
loop_
_atom_site_label
_atom_site_fract_x
_atom_site_fract_y
_atom_site_fract_z
Be1 0.000 0.000 0.000
Nb1 0.500 0.500 0.000
Ir1 0.000 0.500 0.500
Pt1 0.500 0.500 0.500



Record 5
# BeNbIr2Ru, optimized geometry, DFT PBE
# Magnetic moment, Bohr magnetons per cell: 1.06
# Energy relative to the elements, eV per atom: 1.18
# Electronic total energy, eV per atom: -6.98
data_BeNbIr2Ru
_cell_length_a 4.714
_cell_length_b 4.714
_cell_length_c 3.974
_cell_angle_alpha 90.00
_cell_angle_beta 90.00
_cell_angle_gamma 90.00
_space_group_name_H-M_alt 'P 4/m m m'
_space_group_IT_number 123
_space_group_name_Hall '-P 4 2'
loop_
_atom_site_label
_atom_site_fract_x
_atom_site_fract_y
_atom_site_fract_z
Be1 0.000 0.000 0.000
Nb1 0.500 0.500 0.000
Ir1 0.000 0.500 0.500
Ru1 0.000 0.000 0.500



Record 6
# BeNb2IrSe, optimized geometry, DFT PBE
# Formation energy without anion corrections, kJ/mol of atoms: 39.51
# Magnetic moment, Bohr magnetons per cell: 0.00
# Electronic total energy, eV per atom: -6.83
data_BeNb2IrSe
_cell_length_a 4.615
_cell_length_b 4.615
_cell_length_c 3.936
_cell_angle_alpha 90.00
_cell_angle_beta 90.00
_cell_angle_gamma 90.00
_space_group_name_H-M_alt 'P 4/m m m'
_space_group_IT_number 123
_space_group_name_Hall '-P 4 2'
loop_
_atom_site_label
_atom_site_fract_x
_atom_site_fract_y
_atom_site_fract_z
Be1 0.000 0.000 0.000
Nb1 0.000 0.500 0.000
Ir1 0.000 0.000 0.500
Se1 0.500 0.500 0.500



Record 7
# SmBeNbIr2, optimized geometry, DFT PBE
# Magnetic moment, Bohr magnetons per cell: 0.00
# Energy relative to the elements, eV per atom: -0.52
# Electronic total energy, eV per atom: -7.77
data_SmBeNbIr2
_cell_length_a 3.987
_cell_length_b 3.987
_cell_length_c 11.596
_cell_angle_alpha 90.00
_cell_angle_beta 90.00
_cell_angle_gamma 90.00
_space_group_name_H-M_alt 'I -4 m 2'
_space_group_IT_number 119
_space_group_name_Hall 'I -4 -2'
loop_
_atom_site_label
_atom_site_fract_x
_atom_site_fract_y
_atom_site_fract_z
Sm1 0.000 0.000 0.000
Be1 0.000 0.500 0.750
Nb1 0.000 0.500 0.250
Ir1 0.000 0.000 0.385



Record 8
# Be2NbSnIr, optimized geometry, DFT PBE
# Magnetic moment, Bohr magnetons per cell: 1.86
# Energy relative to the elements, eV per atom: 1.40
# Electronic total energy, eV per atom: -4.67
data_Be2NbSnIr
_cell_length_a 4.309
_cell_length_b 4.309
_cell_length_c 5.040
_cell_angle_alpha 90.00
_cell_angle_beta 90.00
_cell_angle_gamma 90.00
_space_group_name_H-M_alt 'P 4/m m m'
_space_group_IT_number 123
_space_group_name_Hall '-P 4 2'
loop_
_atom_site_label
_atom_site_fract_x
_atom_site_fract_y
_atom_site_fract_z
Be1 0.000 0.500 0.000
Nb1 0.000 0.000 0.500
Sn1 0.500 0.500 0.000
Ir1 0.500 0.500 0.500